(1)
Material: MnVOsPt
Method: DFT, PBE
State: optimized geometry

Calculated formation energy = -0.51 eV per formula unit
ρ = 14.30 g/cm³
Symmetry = F-43m (216)

Lattice parameters (Å, degrees): 6.111 6.111 6.111 90.00 90.00 90.00
Positions (direct):
Mn  0.000  0.000  0.000
Mn  0.000  0.500  0.500
Mn  0.500  0.000  0.500
Mn  0.500  0.500  0.000
V  0.000  0.000  0.500
V  0.000  0.500  0.000
V  0.500  0.000  0.000
V  0.500  0.500  0.500
Os  0.250  0.250  0.750
Os  0.250  0.750  0.250
Os  0.750  0.250  0.250
Os  0.750  0.750  0.750
Pt  0.250  0.250  0.250
Pt  0.250  0.750  0.750
Pt  0.750  0.250  0.750
Pt  0.750  0.750  0.250

(2)
Material: Na5Tl12Bi2
Method: DFT, PBE
State: optimized geometry

Calculated formation energy = 0.31 eV per formula unit
ρ = 8.01 g/cm³
Symmetry = C2/m (12)

Lattice parameters (Å, degrees): 9.370 9.370 11.373 105.97 105.97 40.40
Positions (direct):
Na  0.000  0.000  0.000
Na  0.293  0.293  0.092
Na  0.381  0.381  0.625
Na  0.619  0.619  0.375
Na  0.707  0.707  0.908
Tl  0.044  0.550  0.381
Tl  0.087  0.087  0.779
Tl  0.107  0.594  0.865
Tl  0.406  0.893  0.135
Tl  0.450  0.956  0.619
Tl  0.475  0.475  0.139
Tl  0.525  0.525  0.861
Tl  0.550  0.044  0.381
Tl  0.594  0.107  0.865
Tl  0.893  0.406  0.135
Tl  0.913  0.913  0.221
Tl  0.956  0.450  0.619
Bi  0.241  0.759  0.500
Bi  0.759  0.241  0.500

(3)
Material: Y2Mg3Tl2
Method: DFT, PBE
State: optimized geometry

Calculated formation energy = -0.86 eV per formula unit
ρ = 5.85 g/cm³
Symmetry = Cmmm (65)

Lattice parameters (Å, degrees): 4.759 22.161 3.550 90.00 90.00 90.00
Positions (direct):
Y  0.000  0.155  0.000
Y  0.000  0.845  0.000
Y  0.500  0.345  0.000
Y  0.500  0.655  0.000
Mg  0.000  0.000  0.000
Mg  0.000  0.431  0.500
Mg  0.000  0.569  0.500
Mg  0.500  0.069  0.500
Mg  0.500  0.500  0.000
Mg  0.500  0.931  0.500
Tl  0.000  0.293  0.500
Tl  0.000  0.707  0.500
Tl  0.500  0.207  0.500
Tl  0.500  0.793  0.500

(4)
Material: BaPt2Br
Method: DFT, PBE
State: optimized geometry

Raw formation energy = 10 meV/atom
Excess energy over the best structure of this formula in the dataset = 623 meV/atom
ρ = 9.50 g/cm³
Symmetry = Pmmm (47)

Lattice parameters (Å, degrees): 3.352 5.088 6.224 90.00 90.00 90.00
Positions (direct):
Ba  0.000  0.000  0.000
Pt  0.500  0.500  0.207
Pt  0.500  0.500  0.793
Br  0.000  0.000  0.500